one | Below is crystalline FeCu2Rh2 at its relaxed geometry, with properties calculated at the PBE level.

Results
DOS(E_F) = 5.3 states/eV/f.u.
Density = 9.42 g cm⁻³
Space-group type = P4/mbm (127)

abc: 6.6298 6.6298 3.1173
angles: 90.00 90.00 90.00
Fractional coordinates of all 10 atoms:
Fe (0.0000, 0.0000, 0.0000)
Fe (0.5000, 0.5000, 0.0000)
Cu (0.1320, 0.3680, 0.0000)
Cu (0.3680, 0.8680, 0.0000)
Cu (0.6320, 0.1320, 0.0000)
Cu (0.8680, 0.6320, 0.0000)
Rh (0.1670, 0.6670, 0.5000)
Rh (0.3330, 0.1670, 0.5000)
Rh (0.6670, 0.8330, 0.5000)
Rh (0.8330, 0.3330, 0.5000)



two | Below is crystalline FeCu2Rh2 at its relaxed geometry, with properties calculated at the PBE level.

Results
DOS(E_F) = 6.5 states/eV/f.u.
Density = 9.21 g cm⁻³
Space-group type = P4/mbm (127)

abc: 6.8955 6.8955 2.9490
angles: 90.00 90.00 90.00
Fractional coordinates of all 10 atoms:
Fe (0.0000, 0.0000, 0.0000)
Fe (0.5000, 0.5000, 0.0000)
Cu (0.1613, 0.3387, 0.5000)
Cu (0.3387, 0.8387, 0.5000)
Cu (0.6613, 0.1613, 0.5000)
Cu (0.8387, 0.6613, 0.5000)
Rh (0.1377, 0.6377, 0.0000)
Rh (0.3623, 0.1377, 0.0000)
Rh (0.6377, 0.8623, 0.0000)
Rh (0.8623, 0.3623, 0.0000)



three | Below is crystalline FeCu2Rh2 at its relaxed geometry, with properties calculated at the PBE level.

Results
DOS(E_F) = 4.2 states/eV/f.u.
Density = 9.84 g cm⁻³
Space-group type = R-3m (166)

abc: 4.9483 4.9483 4.9483
angles: 50.09 50.09 50.09
Fractional coordinates of all 5 atoms:
Fe (0.0000, 0.0000, 0.0000)
Cu (0.1918, 0.1918, 0.1918)
Cu (0.8082, 0.8082, 0.8082)
Rh (0.3970, 0.3970, 0.3970)
Rh (0.6030, 0.6030, 0.6030)



Short version: three is the most stable of them.



one | Below is crystalline FeCuRh4 at its relaxed geometry, with properties calculated at the PBE level.

Results
DOS(E_F) = 9.2 states/eV/f.u.
Density = 9.57 g cm⁻³
Space-group type = F-43m (216)

abc: 5.0702 5.0702 5.0702
angles: 60.00 60.00 60.00
Fractional coordinates of all 6 atoms:
Fe (0.0000, 0.0000, 0.0000)
Cu (0.2500, 0.2500, 0.2500)
Rh (0.1250, 0.6250, 0.6250)
Rh (0.6250, 0.1250, 0.6250)
Rh (0.6250, 0.6250, 0.1250)
Rh (0.6250, 0.6250, 0.6250)



two | Below is crystalline FeCuRh4 at its relaxed geometry, with properties calculated at the PBE level.

Results
DOS(E_F) = 9.0 states/eV/f.u.
Density = 10.80 g cm⁻³
Space-group type = P4/mmm (123)

abc: 2.7134 2.7134 11.0877
angles: 90.00 90.00 90.00
Fractional coordinates of all 6 atoms:
Fe (0.0000, 0.0000, 0.0000)
Cu (0.5000, 0.5000, 0.5000)
Rh (0.0000, 0.0000, 0.3346)
Rh (0.0000, 0.0000, 0.6654)
Rh (0.5000, 0.5000, 0.1623)
Rh (0.5000, 0.5000, 0.8377)



Short version: two is the most stable of them.



one | Below is crystalline Fe2CuRh2 at its relaxed geometry, with properties calculated at the PBE level.

Results
DOS(E_F) = 4.0 states/eV/f.u.
Density = 8.98 g cm⁻³
Space-group type = P4/mbm (127)

abc: 7.0763 7.0763 2.8153
angles: 90.00 90.00 90.00
Fractional coordinates of all 10 atoms:
Fe (0.1426, 0.3574, 0.0000)
Fe (0.3574, 0.8574, 0.0000)
Fe (0.6426, 0.1426, 0.0000)
Fe (0.8574, 0.6426, 0.0000)
Cu (0.0000, 0.0000, 0.0000)
Cu (0.5000, 0.5000, 0.0000)
Rh (0.1551, 0.6551, 0.5000)
Rh (0.3449, 0.1551, 0.5000)
Rh (0.6551, 0.8449, 0.5000)
Rh (0.8449, 0.3449, 0.5000)



two | Below is crystalline Fe2CuRh2 at its relaxed geometry, with properties calculated at the PBE level.

Results
DOS(E_F) = 4.9 states/eV/f.u.
Density = 8.92 g cm⁻³
Space-group type = P4/mbm (127)

abc: 7.0882 7.0882 2.8250
angles: 90.00 90.00 90.00
Fractional coordinates of all 10 atoms:
Fe (0.1578, 0.3422, 0.0000)
Fe (0.3422, 0.8422, 0.0000)
Fe (0.6578, 0.1578, 0.0000)
Fe (0.8422, 0.6578, 0.0000)
Cu (0.0000, 0.0000, 0.5000)
Cu (0.5000, 0.5000, 0.5000)
Rh (0.1409, 0.6409, 0.5000)
Rh (0.3591, 0.1409, 0.5000)
Rh (0.6409, 0.8591, 0.5000)
Rh (0.8591, 0.3591, 0.5000)



Short version: two is the most stable of them.



one | Below is crystalline FeCu2Ru at its relaxed geometry, with properties calculated at the PBE level.

Results
DOS(E_F) = 3.4 states/eV/f.u.
Density = 9.21 g cm⁻³
Space-group type = Cmmm (65)

abc: 2.5398 2.5398 8.7732
angles: 90.00 90.00 115.26
Fractional coordinates of all 4 atoms:
Fe (0.0000, 0.0000, 0.0000)
Cu (0.5000, 0.5000, 0.2415)
Cu (0.5000, 0.5000, 0.7585)
Ru (0.0000, 0.0000, 0.5000)



two | Below is crystalline FeCu2Ru at its relaxed geometry, with properties calculated at the PBE level.

Results
DOS(E_F) = 4.3 states/eV/f.u.
Density = 9.33 g cm⁻³
Space-group type = P4mm (99)

abc: 3.0212 3.0212 5.5358
angles: 90.00 90.00 90.00
Fractional coordinates of all 4 atoms:
Fe (0.0000, 0.0000, 0.0000)
Cu (0.0000, 0.0000, 0.5134)
Cu (0.5000, 0.5000, 0.7423)
Ru (0.5000, 0.5000, 0.2354)



three | Below is crystalline FeCu2Ru at its relaxed geometry, with properties calculated at the PBE level.

Results
DOS(E_F) = 4.9 states/eV/f.u.
Density = 9.26 g cm⁻³
Space-group type = P4/mmm (123)

abc: 3.0917 3.0917 5.3283
angles: 90.00 90.00 90.00
Fractional coordinates of all 4 atoms:
Fe (0.0000, 0.0000, 0.0000)
Cu (0.5000, 0.5000, 0.2396)
Cu (0.5000, 0.5000, 0.7604)
Ru (0.0000, 0.0000, 0.5000)



Short version: two is the most stable of them.